# 1
# KMnP2 (PBE, relaxed)
# energy above the lowest structure with this stoichiometry	3.51	eV per formula unit
data_KMnP2
_chemical_formula_sum 'K1 Mn1 P2'
_symmetry_space_group_name_H-M 'P 4/m m m'
_symmetry_Int_Tables_number 123
_symmetry_space_group_name_Hall '-P 4 2'
_cell_length_a 4.440
_cell_length_b 4.440
_cell_length_c 4.000
_cell_angle_alpha 90.00
_cell_angle_beta 90.00
_cell_angle_gamma 90.00
loop_
_atom_site_label
_atom_site_type_symbol
_atom_site_fract_x
_atom_site_fract_y
_atom_site_fract_z
K1 K 0.000 0.000 0.000
Mn1 Mn 0.500 0.500 0.000
P1 P 0.000 0.500 0.500

# 2
## K2MnP (PBE)

Data for a relaxed structure of K2MnP.

CIF file:
```
data_K2MnP
_chemical_formula_sum 'K8 Mn4 P4'
_symmetry_space_group_name_H-M 'I -4 2 d'
_symmetry_Int_Tables_number 122
_symmetry_space_group_name_Hall 'I -4 2bw'
_cell_length_a 12.010
_cell_length_b 12.010
_cell_length_c 4.538
_cell_angle_alpha 90.00
_cell_angle_beta 90.00
_cell_angle_gamma 90.00
loop_
_atom_site_label
_atom_site_type_symbol
_atom_site_fract_x
_atom_site_fract_y
_atom_site_fract_z
K1 K 0.078 0.750 0.125
Mn1 Mn 0.000 0.000 0.500
P1 P 0.000 0.000 0.000
```

In eV/atom, the energy relative to the elements values for the records above are, in order, 0.555 0.023.